Material: FeAsSe
Method: DFT, PBE
State: relaxed

Cell lengths 3.282, 5.063, 5.876 Å; angles 90.00, 90.00, 90.00 degrees
Fractional positions:
Se (0.500, 0.562, 0.365)
As (0.000, 0.049, 0.140)
As (0.500, 0.951, 0.640)
Se (0.000, 0.438, 0.865)
Fe (0.000, 0.252, 0.497)
Fe (0.500, 0.748, 0.997)

Material: Te2AsBr
Method: DFT, PBE
State: relaxed

Cell lengths 7.748, 4.177, 4.177 Å; angles 90.00, 90.00, 90.00 degrees
Fractional positions:
Te (0.000, 0.500, 0.500)
Te (0.000, 0.000, 0.000)
Br (0.500, 0.000, 0.500)
As (0.500, 0.500, 0.000)

Calculated values
The value obtained for the energy above the most stable polymorph in this dataset is 481 meV/atom.

Material: PrY2Ga4
Method: DFT, PBE
State: relaxed

Cell lengths 4.177, 4.348, 9.655 Å; angles 103.01, 102.49, 90.00 degrees
Fractional positions:
Ga (0.068, 0.568, 0.136)
Ga (0.352, 0.352, 0.704)
Ga (0.648, 0.648, 0.296)
Y (0.815, 0.815, 0.631)
Y (0.185, 0.185, 0.369)
Ga (0.932, 0.432, 0.864)
Pr (0.500, 0.000, 0.000)

| no. | DOS(E_F) (states/eV/f.u.) | calculated density (kg/m3) | uncorrected energy (eV/atom) |
| --- | --- | --- | --- |
| 1 | 1.1 | 7133 | -5.82 |
| 2 | 3.7 | 5037 | -2.74 |
| 3 | 4.5 | 5957 | -4.94 |